Entry 1:
# Nd2YCd3, optimized geometry, DFT PBE
# size of the total moment: 1.1 μB/cell
# formation energy: -0.33 eV/atom
# total DFT energy (no corrections): -20.70 eV for the cell shown
# D(E_F): 1.128 states/eV per atom
data_Nd2YCd3
_chemical_formula_sum 'Nd2 Y1 Cd3'
_symmetry_space_group_name_H-M 'P -3 m 1'
_symmetry_Int_Tables_number 164
_symmetry_space_group_name_Hall '-P 3 2"'
_cell_length_a 5.4039
_cell_length_b 5.4039
_cell_length_c 6.6322
_cell_angle_alpha 90.00
_cell_angle_beta 90.00
_cell_angle_gamma 120.00
loop_
_atom_site_label
_atom_site_type_symbol
_atom_site_fract_x
_atom_site_fract_y
_atom_site_fract_z
Nd1 Nd 0.3333 0.6667 0.1728
Y1 Y 0.0000 0.0000 0.5000
Cd1 Cd 0.0000 0.0000 0.0000
Cd2 Cd 0.3333 0.6667 0.6652

---

Entry 2:
# Tb7Zn2Ga2, optimized geometry, DFT PBE
# size of the total moment: 0.0 μB/cell
# formation energy: -0.08 eV/atom
# total DFT energy (no corrections): -83.83 eV for the cell shown
# D(E_F): 1.080 states/eV per atom
data_Tb7Zn2Ga2
_chemical_formula_sum 'Tb14 Zn4 Ga4'
_symmetry_space_group_name_H-M 'C m m m'
_symmetry_Int_Tables_number 65
_symmetry_space_group_name_Hall '-C 2 2'
_cell_length_a 7.471
_cell_length_b 10.834
_cell_length_c 7.504
_cell_angle_alpha 90.00
_cell_angle_beta 90.00
_cell_angle_gamma 90.00
loop_
_atom_site_label
_atom_site_type_symbol
_atom_site_fract_x
_atom_site_fract_y
_atom_site_fract_z
Tb1 Tb 0.000 0.000 0.000
Tb2 Tb 0.000 0.500 0.257
Tb3 Tb 0.250 0.250 0.285
Zn1 Zn 0.000 0.290 0.000
Ga1 Ga 0.171 0.000 0.500

---

Entry 3:
# CrAg2W, optimized geometry, DFT PBE
# size of the total moment: 1.7 μB/cell
# formation energy: 0.68 eV/atom
# total DFT energy (no corrections): -25.56 eV for the cell shown
# D(E_F): 0.615 states/eV per atom
# E above lowest polymorph: 296.6 meV per atom
data_CrAg2W
_chemical_formula_sum 'Cr1 Ag2 W1'
_symmetry_space_group_name_H-M 'P m m m'
_symmetry_Int_Tables_number 47
_cell_length_a 3.031
_cell_length_b 4.373
_cell_length_c 4.883
_cell_angle_alpha 90.00
_cell_angle_beta 90.00
_cell_angle_gamma 90.00
loop_
_symmetry_equiv_pos_as_xyz
'x,y,z'
'-x,-y,-z'
'-x,-y,z'
'x,y,-z'
'x,-y,-z'
'-x,y,z'
'-x,y,-z'
'x,-y,z'
loop_
_atom_site_label
_atom_site_type_symbol
_atom_site_fract_x
_atom_site_fract_y
_atom_site_fract_z
Cr1 Cr 0.000 0.000 0.000
Ag1 Ag 0.000 0.500 0.500
Ag2 Ag 0.500 0.000 0.500
W1 W 0.500 0.500 0.000

---

Entry 4:
# ZrHPt2, optimized geometry, DFT PBE
# size of the total moment: 0.0 μB/cell
# total DFT energy (no corrections): -102.33 eV for the cell shown
# D(E_F): 0.553 states/eV per atom
# E above lowest polymorph: 0.0 meV per atom
data_ZrHPt2
_chemical_formula_sum 'Zr4 H4 Pt8'
_symmetry_space_group_name_H-M 'I -4 2 d'
_symmetry_Int_Tables_number 122
_symmetry_space_group_name_Hall 'I -4 2bw'
_cell_length_a 5.791
_cell_length_b 5.791
_cell_length_c 7.116
_cell_angle_alpha 90.00
_cell_angle_beta 90.00
_cell_angle_gamma 90.00
loop_
_atom_site_label
_atom_site_type_symbol
_atom_site_fract_x
_atom_site_fract_y
_atom_site_fract_z
Zr1 Zr 0.000 0.000 0.000
H1 H 0.000 0.000 0.500
Pt1 Pt 0.123 0.250 0.625

---

Entry 5:
# Li5Mg2In, optimized geometry, DFT PBE
# size of the total moment: 0.0 μB/cell
# formation energy: -0.15 eV/atom
# total DFT energy (no corrections): -33.45 eV for the cell shown
# D(E_F): 0.381 states/eV per atom
data_Li5Mg2In
_chemical_formula_sum 'Li10 Mg4 In2'
_symmetry_space_group_name_H-M 'I 4/m m m'
_symmetry_Int_Tables_number 139
_symmetry_space_group_name_Hall '-I 4 2'
_cell_length_a 4.812
_cell_length_b 4.812
_cell_length_c 13.300
_cell_angle_alpha 90.00
_cell_angle_beta 90.00
_cell_angle_gamma 90.00
loop_
_atom_site_label
_atom_site_type_symbol
_atom_site_fract_x
_atom_site_fract_y
_atom_site_fract_z
Li1 Li 0.000 0.000 0.000
Li2 Li 0.000 0.500 0.117
Mg1 Mg 0.000 0.000 0.257
In1 In 0.000 0.000 0.500

---

Entry 6:
# TbGaSi2Pt7, optimized geometry, DFT PBE
# size of the total moment: 0.0 μB/cell
# total DFT energy (no corrections): -132.97 eV for the cell shown
# D(E_F): 0.265 states/eV per atom
data_TbGaSi2Pt7
_chemical_formula_sum 'Tb2 Ga2 Si4 Pt14'
_symmetry_space_group_name_H-M 'I -4 m 2'
_symmetry_Int_Tables_number 119
_symmetry_space_group_name_Hall 'I -4 -2'
_cell_length_a 4.065
_cell_length_b 4.065
_cell_length_c 27.999
_cell_angle_alpha 90.00
_cell_angle_beta 90.00
_cell_angle_gamma 90.00
loop_
_atom_site_label
_atom_site_type_symbol
_atom_site_fract_x
_atom_site_fract_y
_atom_site_fract_z
Tb1 Tb 0.000 0.000 0.000
Ga1 Ga 0.000 0.500 0.250
Si1 Si 0.000 0.000 0.377
Pt1 Pt 0.000 0.000 0.296
Pt2 Pt 0.000 0.000 0.500
Pt3 Pt 0.000 0.500 0.078
Pt4 Pt 0.000 0.500 0.578

---

Entry 7:
# AcSm2Zr, optimized geometry, DFT PBE
# size of the total moment: 0.0 μB/cell
# formation energy: 0.42 eV/atom
# total DFT energy (no corrections): -61.21 eV for the cell shown
# D(E_F): 1.455 states/eV per atom
# E above lowest polymorph: 248.2 meV per atom
data_AcSm2Zr
_chemical_formula_sum 'Ac3 Sm6 Zr3'
_symmetry_space_group_name_H-M 'R -3 m'
_symmetry_Int_Tables_number 166
_symmetry_space_group_name_Hall '-R 3 2"'
_cell_length_a 3.5256
_cell_length_b 3.5256
_cell_length_c 37.1147
_cell_angle_alpha 90.00
_cell_angle_beta 90.00
_cell_angle_gamma 120.00
loop_
_atom_site_label
_atom_site_type_symbol
_atom_site_fract_x
_atom_site_fract_y
_atom_site_fract_z
Ac1 Ac 0.0000 0.0000 0.0000
Sm1 Sm 0.0000 0.0000 0.4164
Zr1 Zr 0.0000 0.0000 0.5000

---

Entry 8:
# Ba2LaSi, optimized geometry, DFT PBE
# size of the total moment: 0.0 μB/cell
# total DFT energy (no corrections): -29.29 eV for the cell shown
# D(E_F): 1.166 states/eV per atom
data_Ba2LaSi
_chemical_formula_sum 'Ba4 La2 Si2'
_symmetry_space_group_name_H-M 'I m m 2'
_symmetry_Int_Tables_number 44
_cell_length_a 4.207
_cell_length_b 5.918
_cell_length_c 13.522
_cell_angle_alpha 90.00
_cell_angle_beta 90.00
_cell_angle_gamma 90.00
loop_
_symmetry_equiv_pos_as_xyz
'x,y,z'
'-x,-y,z'
'-x,y,z'
'x,-y,z'
'x+1/2,y+1/2,z+1/2'
'-x+1/2,-y+1/2,z+1/2'
'-x+1/2,y+1/2,z+1/2'
'x+1/2,-y+1/2,z+1/2'
loop_
_atom_site_label
_atom_site_type_symbol
_atom_site_fract_x
_atom_site_fract_y
_atom_site_fract_z
Ba1 Ba 0.000 0.000 0.000
Ba2 Ba 0.000 0.500 0.184
La1 La 0.000 0.500 0.832
Si1 Si 0.000 0.000 0.484

---

Entry 9:
# NiW, optimized geometry, DFT PBE
# size of the total moment: 0.0 μB/cell
# formation energy: 0.17 eV/atom
# total DFT energy (no corrections): -18.40 eV for the cell shown
# D(E_F): 1.044 states/eV per atom
data_NiW
_chemical_formula_sum 'Ni1 W1'
_symmetry_space_group_name_H-M 'P -6 m 2'
_symmetry_Int_Tables_number 187
_symmetry_space_group_name_Hall 'P -6 2'
_cell_length_a 2.7243
_cell_length_b 2.7243
_cell_length_c 4.2910
_cell_angle_alpha 90.00
_cell_angle_beta 90.00
_cell_angle_gamma 120.00
loop_
_atom_site_label
_atom_site_type_symbol
_atom_site_fract_x
_atom_site_fract_y
_atom_site_fract_z
Ni1 Ni 0.0000 0.0000 0.0000
W1 W 0.3333 0.6667 0.5000